## K3HoPa3Te8 (PBE)

Data for a geometry-optimized K3HoPa3Te8 structure.

Unit cell a=8.7710 b=8.7710 c=25.6749 alpha=90.00 beta=90.00 gamma=120.00
Space group R-3m (No. 166, hexagonal axes)
Unique sites:
K1 0.0000 0.5000 0.0000
Ho1 0.0000 0.0000 0.5000
Pa1 0.0000 0.5000 0.5000
Te1 0.0000 0.0000 0.2385
Te2 0.0003 0.5001 0.2367

As for the raw total energy: -5.13 eV/atom. The density of states at the Fermi level comes out at 1.35 states/eV/atom. The value obtained for the density is 5.81 g/cm³. The calculation puts the formation energy (no corrections) at -1.026 eV per atom.